[1]
VASP calculation (GGA-PBEsol) on an optimized crystal structure of YTePt3.

The calculation puts the raw total energy at -6.165 eV/atom. For the density of states at the Fermi level, the calculation gives 1.756 states/eV per cell. Its total moment is 0.0 μB/cell.

The structure belongs to space group Pm-3m (No. 221); the cell edges are 4.896, 4.896 and 4.896 Å and the angles 90.00°, 90.00° and 90.00°. The asymmetric unit holds Y at (0.000, 0.000, 0.000), Te at (0.500, 0.500, 0.500) and Pt at (0.000, 0.500, 0.500).


[2]
VASP calculation (GGA-PBEsol) on an optimized crystal structure of Zn4TePt.

The calculation puts the raw total energy at -2.695 eV/atom. For the density of states at the Fermi level, the calculation gives 8.914 states/eV per cell. Its total moment is 0.0 μB/cell.

The structure belongs to space group F-43m (No. 216); the cell edges are 7.254, 7.254 and 7.254 Å and the angles 90.00°, 90.00° and 90.00°. The asymmetric unit holds Zn at (0.124, 0.124, 0.124), Te at (0.000, 0.000, 0.500) and Pt at (0.250, 0.250, 0.750).


[3]
VASP calculation (GGA-PBEsol) on an optimized crystal structure of ZnTePt2.

The calculation puts the raw total energy at -4.899 eV/atom. For the density of states at the Fermi level, the calculation gives 3.281 states/eV per cell. Its total moment is 0.0 μB/cell.

The structure belongs to space group Amm2 (No. 38); the cell edges are 4.862, 5.388 and 5.460 Å and the angles 90.00°, 90.00° and 90.00°. The asymmetric unit holds Zn at (0.000, 0.000, 0.000), Te at (0.500, 0.000, 0.337), Pt at (0.000, 0.000, 0.524) and Pt at (0.500, 0.000, 0.835).


[4]
VASP calculation (GGA-PBEsol) on an optimized crystal structure of ZnTePt4.

The calculation puts the raw total energy at -5.387 eV/atom. For the density of states at the Fermi level, the calculation gives 5.870 states/eV per cell. Its total moment is 0.0 μB/cell.

The structure belongs to space group F-43m (No. 216); the cell edges are 7.447, 7.447 and 7.447 Å and the angles 90.00°, 90.00° and 90.00°. The asymmetric unit holds Zn at (0.000, 0.000, 0.000), Te at (0.250, 0.250, 0.750) and Pt at (0.125, 0.125, 0.375).


[5]
VASP calculation (GGA-PBEsol) on an optimized crystal structure of Zr2TePt.

The calculation puts the raw total energy at -7.838 eV/atom. For the density of states at the Fermi level, the calculation gives 7.109 states/eV per cell. Its total moment is 0.0 μB/cell.

The structure belongs to space group Imm2 (No. 44); the cell edges are 3.565, 4.614 and 9.627 Å and the angles 90.00°, 90.00° and 90.00°. The asymmetric unit holds Zr at (0.000, 0.000, 0.000), Zr at (0.000, 0.500, 0.230), Te at (0.000, 0.000, 0.463) and Pt at (0.000, 0.500, 0.737).


[6]
VASP calculation (GGA-PBEsol) on an optimized crystal structure of ThPt2.

The energy relative to the elements comes out at -1.200 eV per atom. The calculation puts the raw total energy at -8.545 eV/atom. For the density of states at the Fermi level, the calculation gives 3.617 states/eV per cell. Its total moment is 0.0 μB/cell.

The structure belongs to space group I4/mmm (No. 139); the cell edges are 4.143, 4.143 and 14.289 Å and the angles 90.00°, 90.00° and 90.00°. The asymmetric unit holds Th at (0.000, 0.000, 0.157), Pt at (0.000, 0.000, 0.365) and Pt at (0.000, 0.500, 0.000).


[7]
VASP calculation (GGA-PBEsol) on an optimized crystal structure of ThPt.

The energy relative to the elements comes out at -1.157 eV per atom. The calculation puts the raw total energy at -8.692 eV/atom. For the density of states at the Fermi level, the calculation gives 5.172 states/eV per cell. Its total moment is 0.0 μB/cell.

The structure belongs to space group Cmcm (No. 63); the cell edges are 3.895, 11.096 and 4.419 Å and the angles 90.00°, 90.00° and 90.00°. The asymmetric unit holds Th at (0.000, 0.137, 0.250) and Pt at (0.000, 0.405, 0.250).


[8]
VASP calculation (GGA-PBEsol) on an optimized crystal structure of Th3Pt5.

The energy relative to the elements comes out at -1.188 eV per atom. The calculation puts the raw total energy at -8.580 eV/atom. For the density of states at the Fermi level, the calculation gives 3.610 states/eV per cell. Its total moment is 0.0 μB/cell.

The structure belongs to space group P-62m (No. 189); the cell edges are 7.1357, 7.1357 and 3.8727 Å and the angles 90.00°, 90.00° and 120.00°. The asymmetric unit holds Th at (0.0000, 0.3600, 0.0000), Pt at (0.0000, 0.7722, 0.5000) and Pt at (0.3333, 0.6667, 0.5000).


Q: What is the raw total energy in the third record?
A: -4.899 eV/atom


Q: Which formula does entry 7 have?
A: ThPt


Q: What is the formula in the fourth record?
A: ZnTePt4